# 1
Density functional theory data (PBE) for a relaxed TeSeBrN2 crystal.

Values from the calculation:
Formation energy from raw total energies ... 9.8 eV/f.u.
D(E_F) ... 3.52 states/eV per cell
Energy above the lowest structure with this stoichiometry ... 590 meV per atom

abc: 4.008 4.008 8.272
angles: 90.00 90.00 90.00
Space group P4/mmm (No. 123)
Unique sites:
Te 0.000 0.000 0.000
Se 0.500 0.500 0.000
Br 0.000 0.000 0.500
N 0.000 0.500 0.500


# 2
Density functional theory data (PBE) for a relaxed ThW2N6 crystal.

Values from the calculation:
Formation energy from raw total energies ... -2.5 eV/f.u.
D(E_F) ... 19.95 states/eV per cell

abc: 5.4002 5.4002 16.4688
angles: 90.00 90.00 120.00
Space group R3 (No. 146, hexagonal axes)
Unique sites:
Th 0.0000 0.0000 0.0000
W 0.0000 0.0000 0.2086
W 0.0000 0.0000 0.5046
N 0.0090 0.4447 0.7792
N 0.0522 0.7139 0.2584